! Sc2TlPb | the Alexandria database | PBE | optimized geometry; values from VASP
&SYSTEM
  ibrav = 0, nat = 4, ntyp = 3
/
ATOMIC_SPECIES
Tl 204.38 Tl.upf
Pb 207.20 Pb.upf
Sc 44.96 Sc.upf
CELL_PARAMETERS angstrom
-2.9952 1.3496 1.4299
-2.0102 -4.0916 -0.3489
2.0365 -1.4837 5.6663
ATOMIC_POSITIONS angstrom
Tl 0.9443 -0.6879 2.6273
Pb -0.9154 -2.5274 4.9571
Sc -1.9584 -1.7675 2.0549
Sc 2.0153 -1.4683 5.6074
! space group: Pmm2, No. 25
! ΔE_f: -16 kJ/mol of atoms
! energy above the lowest structure with this stoichiometry: 0.157 eV/atom


! MgZrCr2 | the Alexandria database | PBE | optimized geometry; values from VASP
&SYSTEM
  ibrav = 0, nat = 4, ntyp = 3
/
ATOMIC_SPECIES
Zr 91.22 Zr.upf
Mg 24.30 Mg.upf
Cr 52.00 Cr.upf
CELL_PARAMETERS angstrom
5.2560 0.0067 0.0000
-2.3035 4.7244 0.0000
0.0000 0.0000 2.6028
ATOMIC_POSITIONS angstrom
Zr -1.1517 2.3622 1.3014
Mg 2.6280 0.0034 1.3014
Cr 0.0000 0.0000 0.0000
Cr 1.4763 2.3655 0.0000
! space group: Cmmm, No. 65
! ΔE_f: 61 kJ/mol of atoms


! Sr4TlSi | the Alexandria database | PBE | optimized geometry; values from VASP
&SYSTEM
  ibrav = 0, nat = 6, ntyp = 3
/
ATOMIC_SPECIES
Sr 87.62 Sr.upf
Si 28.09 Si.upf
Tl 204.38 Tl.upf
CELL_PARAMETERS angstrom
5.4056 -1.7802 4.0287
0.3842 2.3456 6.5552
-0.9257 -4.3934 5.3349
ATOMIC_POSITIONS angstrom
Sr 2.0140 -0.2544 9.2536
Sr 1.3558 -3.6408 8.6404
Sr 1.8210 -1.4331 5.9595
Sr 4.5374 -2.3277 7.9840
Si 0.0000 0.0000 0.0000
Tl 3.6481 -2.8710 11.9391
! space group: F-43m, No. 216
! energy above the lowest structure with this stoichiometry: 0.840 eV/atom
! uncorrected formation energy: 542 meV/atom


! TcNi2AgC | the Alexandria database | PBE | optimized geometry; values from VASP
&SYSTEM
  ibrav = 0, nat = 5, ntyp = 4
/
ATOMIC_SPECIES
Ni 58.69 Ni.upf
Tc 98.00 Tc.upf
Ag 107.87 Ag.upf
C 12.01 C.upf
CELL_PARAMETERS angstrom
3.9005 0.0000 0.0000
0.0000 3.9005 0.0000
0.0000 0.0000 4.0316
ATOMIC_POSITIONS angstrom
Ni 1.9502 0.0000 0.0000
Ni 0.0000 1.9502 0.0000
Tc 0.0000 0.0000 2.0158
Ag 1.9502 1.9502 2.0158
C 0.0000 0.0000 0.0000
! space group: P4/mmm, No. 123
! ΔE_f: 28 kJ/mol of atoms


Repeat the second record exactly.
! MgZrCr2 | the Alexandria database | PBE | optimized geometry; values from VASP
&SYSTEM
  ibrav = 0, nat = 4, ntyp = 3
/
ATOMIC_SPECIES
Zr 91.22 Zr.upf
Mg 24.30 Mg.upf
Cr 52.00 Cr.upf
CELL_PARAMETERS angstrom
5.2560 0.0067 0.0000
-2.3035 4.7244 0.0000
0.0000 0.0000 2.6028
ATOMIC_POSITIONS angstrom
Zr -1.1517 2.3622 1.3014
Mg 2.6280 0.0034 1.3014
Cr 0.0000 0.0000 0.0000
Cr 1.4763 2.3655 0.0000
! space group: Cmmm, No. 65
! ΔE_f: 61 kJ/mol of atoms